1.
Density functional theory data (GGA-PBE) for KBa2NaGe after structural relaxation.

Computed properties:
Energy relative to the elements ... -92 meV per atom

Cell: 6.6103 6.6103 6.0157 Å, 90.00 90.00 90.00°
Closest atoms and distances in Å follow each position.
Sites, in units of the cell vectors:
K: 0.0000 0.0000 0.0000  8 Ba 4.47, 4 Na 4.67
Ba: 0.0000 0.5000 0.5000  2 Ge 3.31
Ba: 0.5000 0.0000 0.5000  2 Ge 3.31
Na: 0.5000 0.5000 0.0000  2 Ge 3.01
Ge: 0.5000 0.5000 0.5000  2 Na 3.01, 4 Ba 3.31

***

2.
Density functional theory data (GGA-PBE) for Y3Ag3Rh2 after structural relaxation.

Computed properties:
Energy relative to the elements ... -552 meV per atom

Cell: 7.3383 7.3383 3.6992 Å, 90.00 90.00 120.00°
Closest atoms and distances in Å follow each position.
Sites, in units of the cell vectors:
Y: 0.0000 0.4132 0.0000  4 Rh 2.88, 6 Ag 3.22
Y: 0.4132 0.0000 0.0000  4 Rh 2.88, 6 Ag 3.22
Y: 0.5868 0.5868 0.0000  4 Rh 2.88, 6 Ag 3.22
Ag: 0.0000 0.7729 0.5000  2 Ag 2.89, 2 Rh 2.92, 6 Y 3.22
Ag: 0.2271 0.2271 0.5000  2 Ag 2.89, 2 Rh 2.92, 6 Y 3.22
Ag: 0.7729 0.0000 0.5000  2 Ag 2.89, 2 Rh 2.92, 6 Y 3.22
Rh: 0.3333 0.6667 0.5000  6 Y 2.88, 3 Ag 2.92
Rh: 0.6667 0.3333 0.5000  6 Y 2.88, 3 Ag 2.92

***

3.
Density functional theory data (GGA-PBE) for Pm2TmSc2 after structural relaxation.

Computed properties:
Energy above the most stable polymorph in this dataset ... 0.000 eV/atom
Energy relative to the elements ... 37 meV per atom

Cell: 8.2005 8.2005 6.5336 Å, 102.55 102.55 43.75°
Closest atoms and distances in Å follow each position.
Sites, in units of the cell vectors:
Pm: 0.1105 0.2915 0.1629  5 Sc 3.42-3.66, 2 Tm 3.42-3.57, 5 Pm 3.45-3.47
Pm: 0.2915 0.1105 0.6629  5 Sc 3.42-3.66, 2 Tm 3.42-3.57, 5 Pm 3.45-3.47
Pm: 0.7085 0.8895 0.3371  5 Sc 3.42-3.66, 2 Tm 3.42-3.57, 5 Pm 3.45-3.47
Pm: 0.8895 0.7085 0.8371  5 Sc 3.42-3.66, 2 Tm 3.42-3.57, 5 Pm 3.45-3.47
Tm: 0.0888 0.9112 0.2500  6 Sc 3.37-3.54, 4 Pm 3.42-3.57, 2 Tm 3.44
Tm: 0.9112 0.0888 0.7500  6 Sc 3.37-3.54, 4 Pm 3.42-3.57, 2 Tm 3.44
Sc: 0.3281 0.4852 0.5522  4 Sc 3.22-3.40, 3 Tm 3.37-3.54, 4 Pm 3.42-3.54
Sc: 0.4852 0.3281 0.0522  4 Sc 3.22-3.40, 3 Tm 3.37-3.54, 4 Pm 3.42-3.54
Sc: 0.5148 0.6719 0.9478  4 Sc 3.22-3.40, 3 Tm 3.37-3.54, 4 Pm 3.42-3.54
Sc: 0.6719 0.5148 0.4478  4 Sc 3.22-3.40, 3 Tm 3.37-3.54, 4 Pm 3.42-3.54

***

4.
Density functional theory data (GGA-PBE) for BaLi2AgRh after structural relaxation.

Computed properties:
Energy relative to the elements ... 0 meV per atom

Cell: 4.7941 4.7941 5.3506 Å, 90.00 90.00 90.00°
Closest atoms and distances in Å follow each position.
Sites, in units of the cell vectors:
Ba: 0.0000 0.0000 0.0000  4 Ag 3.39, 8 Li 3.59
Li: 0.0000 0.5000 0.5000  2 Rh 2.40
Li: 0.5000 0.0000 0.5000  2 Rh 2.40
Ag: 0.5000 0.5000 0.0000  2 Rh 2.68
Rh: 0.5000 0.5000 0.5000  4 Li 2.40, 2 Ag 2.68